{
  "formula": "MgSc3",
  "functional": "SCAN",
  "state": "PBEsol geometry",
  "lattice_angstrom": [[3.305, 0.000, 0.000], [0.000, 5.439, -0.002], [0.000, -1.550, 5.214]],
  "species": ["Mg", "Sc", "Sc", "Sc"],
  "fractional_positions": [[0.000, 0.000, 0.000], [0.500, 0.000, 0.500], [0.500, 0.500, 0.000], [0.000, 0.500, 0.500]],
  "crystal_system": "orthorhombic",
  "polymorph_energy_ev_per_atom": 0.057
}

{
  "formula": "Li2Mn3F8",
  "functional": "SCAN",
  "state": "PBEsol geometry",
  "lattice_angstrom": [[-1.512, 4.151, 7.362], [4.968, -5.614, 4.186], [6.837, 4.997, -1.413]],
  "species": ["Li", "F", "F", "F", "F", "F", "Mn", "F", "Li", "F", "F", "F", "Mn", "F", "F", "F", "F", "Li", "Li", "Li", "Li", "F", "F", "Mn", "F", "Mn", "F", "F", "F", "F", "Mn", "F", "F", "Mn", "F", "Mn", "Mn", "Li", "Mn", "F", "Mn", "Mn", "F", "Mn", "F", "F", "F", "F", "F", "Li", "F", "F"],
  "fractional_positions": [[0.274, 0.274, 0.274], [0.106, 0.865, 0.112], [0.885, 0.356, 0.862], [0.606, 0.635, 0.888], [0.862, 0.885, 0.356], [0.388, 0.894, 0.365], [0.375, 0.661, 0.411], [0.638, 0.115, 0.856], [0.774, 0.226, 0.726], [0.644, 0.362, 0.615], [0.635, 0.888, 0.606], [0.615, 0.644, 0.362], [0.589, 0.875, 0.839], [0.138, 0.385, 0.144], [0.856, 0.638, 0.115], [0.362, 0.615, 0.644], [0.596, 0.904, 0.096], [0.226, 0.726, 0.774], [0.976, 0.976, 0.976], [0.476, 0.524, 0.024], [0.726, 0.774, 0.226], [0.115, 0.856, 0.638], [0.112, 0.106, 0.865], [0.875, 0.839, 0.589], [0.865, 0.112, 0.106], [0.839, 0.589, 0.875], [0.394, 0.135, 0.612], [0.846, 0.846, 0.846], [0.154, 0.346, 0.654], [0.135, 0.612, 0.394], [0.339, 0.911, 0.125], [0.904, 0.096, 0.596], [0.346, 0.654, 0.154], [0.625, 0.161, 0.089], [0.365, 0.388, 0.894], [0.411, 0.375, 0.661], [0.161, 0.089, 0.625], [0.024, 0.476, 0.524], [0.125, 0.339, 0.911], [0.385, 0.144, 0.138], [0.911, 0.125, 0.339], [0.089, 0.625, 0.161], [0.654, 0.154, 0.346], [0.661, 0.411, 0.375], [0.612, 0.394, 0.135], [0.888, 0.606, 0.635], [0.894, 0.365, 0.388], [0.356, 0.862, 0.885], [0.096, 0.596, 0.904], [0.524, 0.024, 0.476], [0.404, 0.404, 0.404], [0.144, 0.138, 0.385]],
  "crystal_system": "cubic",
  "formation_energy_uncorrected_mev_per_atom": -2931,
  "polymorph_energy_ev_per_atom": 0.016
}